Record 1
## NbTePdRuI (PBE)

Data for a relaxed NbTePdRuI crystal.

Cell: 3.939 4.126 7.561 Å, 90.00 90.83 90.00°
Space group Pm (No. 6)
Inequivalent atoms, fractional coordinates:
Nb  0.000  0.000  0.000
Te  0.892  0.500  0.284
Pd  0.555  0.500  0.959
Ru  0.403  0.000  0.219
I  0.424  0.000  0.695

Values from the calculation:
* raw formation energy: -0.005 eV per atom
* calculated volume: 123 Å³ per cell
* final energy: -5.8507 eV per atom
* DOS at the Fermi energy: 2.841 states/eV/cell

Record 2
## NbTePdRuI (PBE)

Data for a relaxed NbTePdRuI crystal.

Cell: 3.594 4.538 8.916 Å, 102.63 90.55 113.32°
Space group P1 (No. 1)
Inequivalent atoms, fractional coordinates:
Nb  0.000  0.000  0.000
Te  0.870  0.755  0.684
Pd  0.236  0.479  0.840
Ru  0.716  0.428  0.085
I  0.482  0.950  0.266

Values from the calculation:
* raw formation energy: -0.113 eV per atom
* calculated volume: 130 Å³ per cell
* final energy: -5.9587 eV per atom

Record 3
## NbTePdRuI (PBE)

Data for a relaxed NbTePdRuI crystal.

Cell: 6.775 4.744 8.234 Å, 90.00 91.18 90.00°
Space group Cm (No. 8)
Inequivalent atoms, fractional coordinates:
Nb  0.000  0.000  0.000
Te  0.094  0.000  0.642
Pd  0.229  0.500  0.760
Ru  0.327  0.000  0.906
I  0.484  0.000  0.219

Values from the calculation:
* raw formation energy: -0.094 eV per atom
* calculated volume: 265 Å³ per cell
* final energy: -5.9402 eV per atom
* DOS at the Fermi energy: 6.141 states/eV/cell

Record 4
## NbTePdRuI (PBE)

Data for a relaxed NbTePdRuI crystal.

Cell: 3.570 4.598 8.715 Å, 80.28 88.69 67.21°
Space group P1 (No. 1)
Inequivalent atoms, fractional coordinates:
Nb  0.000  0.000  0.000
Te  0.384  0.261  0.747
Pd  0.303  0.378  0.146
Ru  0.689  0.633  0.913
I  0.998  0.964  0.332

Values from the calculation:
* raw formation energy: -0.147 eV per atom
* calculated volume: 130 Å³ per cell
* final energy: -5.9930 eV per atom
* DOS at the Fermi energy: 1.797 states/eV/cell

Record 5
## NbTePdRuI (PBE)

Data for a relaxed NbTePdRuI crystal.

Cell: 16.437 3.655 4.172 Å, 90.00 90.87 90.00°
Space group Cm (No. 8)
Inequivalent atoms, fractional coordinates:
Nb  0.000  0.000  0.000
Te  0.338  0.000  0.846
Pd  0.364  0.500  0.331
Ru  0.484  0.000  0.607
I  0.125  0.500  0.280

Values from the calculation:
* raw formation energy: -0.071 eV per atom
* calculated volume: 251 Å³ per cell
* final energy: -5.9167 eV per atom
* DOS at the Fermi energy: 3.555 states/eV/cell

Record 6
## NbTePdRuI (PBE)

Data for a relaxed NbTePdRuI crystal.

Cell: 4.3034 4.3034 22.6451 Å, 90.00 90.00 120.00°
Space group R3m (No. 160, hexagonal axes)
Inequivalent atoms, fractional coordinates:
Nb  0.0000  0.0000  0.0000
Te  0.0000  0.0000  0.7457
Pd  0.0000  0.0000  0.1163
Ru  0.0000  0.0000  0.6288
I  0.0000  0.0000  0.2373

Values from the calculation:
* raw formation energy: -0.109 eV per atom
* calculated volume: 363 Å³ per cell
* final energy: -5.9549 eV per atom
* DOS at the Fermi energy: 3.608 states/eV/cell

Record 7
## NbTePdRuI (PBE)

Data for a relaxed NbTePdRuI crystal.

Cell: 4.110 4.642 6.572 Å, 90.00 90.93 90.00°
Space group Pm (No. 6)
Inequivalent atoms, fractional coordinates:
Nb  0.000  0.000  0.000
Te  0.519  0.500  0.054
Pd  0.020  0.500  0.786
Ru  0.435  0.000  0.233
I  0.980  0.000  0.533

Values from the calculation:
* raw formation energy: -0.033 eV per atom
* calculated volume: 125 Å³ per cell
* final energy: -5.8791 eV per atom
* DOS at the Fermi energy: 1.625 states/eV/cell

Record 8
## NbSbPd2I (PBE)

Data for a relaxed NbSbPd2I crystal.

Cell: 5.033 5.033 5.219 Å, 90.00 90.00 90.00°
Space group P4/mmm (No. 123)
Inequivalent atoms, fractional coordinates:
Nb  0.000  0.000  0.000
Sb  0.500  0.500  0.500
Pd  0.000  0.500  0.000
I  0.000  0.000  0.500

Values from the calculation:
* raw formation energy: 0.837 eV per atom
* calculated volume: 132 Å³ per cell
* final energy: -4.3886 eV per atom
* DOS at the Fermi energy: 4.754 states/eV/cell

Record 9
## NbTePdI (PBE)

Data for a relaxed NbTePdI crystal.

Cell: 9.845 3.642 7.369 Å, 90.00 126.40 90.00°
Space group Cm (No. 8)
Inequivalent atoms, fractional coordinates:
Nb  0.000  0.000  0.000
Te  0.318  0.000  0.057
Pd  0.161  0.500  0.341
I  0.425  0.000  0.641

Values from the calculation:
* raw formation energy: -0.064 eV per atom
* calculated volume: 213 Å³ per cell
* final energy: -5.0530 eV per atom
* DOS at the Fermi energy: 1.435 states/eV/cell

Record 10
## NbTePdI (PBE)

Data for a relaxed NbTePdI crystal.

Cell: 4.2478 4.2478 8.3370 Å, 90.00 90.00 120.00°
Space group P3m1 (No. 156)
Inequivalent atoms, fractional coordinates:
Nb  0.0000  0.0000  0.0000
Te  0.6667  0.3333  0.2420
Pd  0.3333  0.6667  0.0935
I  0.0000  0.0000  0.6851

Values from the calculation:
* raw formation energy: -0.242 eV per atom
* calculated volume: 130 Å³ per cell
* final energy: -5.2309 eV per atom

Record 11
## NbTePdI (PBE)

Data for a relaxed NbTePdI crystal.

Cell: 7.263 4.192 8.120 Å, 90.00 107.65 90.00°
Space group Cm (No. 8)
Inequivalent atoms, fractional coordinates:
Nb  0.000  0.000  0.000
Te  0.076  0.500  0.731
Pd  0.295  0.000  0.886
I  0.248  0.500  0.241

Values from the calculation:
* raw formation energy: -0.335 eV per atom
* calculated volume: 236 Å³ per cell
* final energy: -5.3240 eV per atom

Record 12
## NbTePdI (PBE)

Data for a relaxed NbTePdI crystal.

Cell: 3.929 4.113 7.326 Å, 90.00 93.35 90.00°
Space group Pm (No. 6)
Inequivalent atoms, fractional coordinates:
Nb  0.000  0.000  0.000
Te  0.523  0.000  0.275
Pd  0.505  0.500  0.052
I  0.055  0.500  0.732

Values from the calculation:
* raw formation energy: -0.178 eV per atom
* calculated volume: 118 Å³ per cell
* final energy: -5.1664 eV per atom
* DOS at the Fermi energy: 2.686 states/eV/cell

Record 13
## NbTe2PdI (PBE)

Data for a relaxed NbTe2PdI crystal.

Cell: 5.361 5.361 5.669 Å, 90.00 90.00 90.00°
Space group P4/mmm (No. 123)
Inequivalent atoms, fractional coordinates:
Nb  0.000  0.000  0.000
Te  0.000  0.500  0.000
Pd  0.500  0.500  0.500
I  0.000  0.000  0.500

Values from the calculation:
* raw formation energy: 0.469 eV per atom
* calculated volume: 163 Å³ per cell
* final energy: -4.1501 eV per atom
* DOS at the Fermi energy: 3.434 states/eV/cell

Record 14
## NbTePdI (PBE)

Data for a relaxed NbTePdI crystal.

Cell: 4.246 4.246 8.738 Å, 103.69 90.08 119.98°
Space group P1 (No. 1)
Inequivalent atoms, fractional coordinates:
Nb  0.000  0.000  0.000
Te  0.588  0.177  0.760
Pd  0.303  0.606  0.907
I  0.102  0.203  0.312

Values from the calculation:
* raw formation energy: -0.242 eV per atom
* calculated volume: 131 Å³ per cell
* final energy: -5.2307 eV per atom

Record 15
## NbTePdI (PBE)

Data for a relaxed NbTePdI crystal.

Cell: 7.102 4.104 8.292 Å, 90.00 106.34 90.00°
Space group Cm (No. 8)
Inequivalent atoms, fractional coordinates:
Nb  0.000  0.000  0.000
Te  0.262  0.500  0.290
Pd  0.379  0.000  0.139
I  0.253  0.000  0.756

Values from the calculation:
* raw formation energy: -0.205 eV per atom
* calculated volume: 232 Å³ per cell
* final energy: -5.1931 eV per atom

Record 16
## NbTe2PdI (PBE)

Data for a relaxed NbTe2PdI crystal.

Cell: 5.266 5.266 5.341 Å, 90.00 90.00 90.00°
Space group P4/mmm (No. 123)
Inequivalent atoms, fractional coordinates:
Nb  0.000  0.000  0.000
Te  0.000  0.500  0.500
Pd  0.500  0.500  0.500
I  0.500  0.500  0.000

Values from the calculation:
* raw formation energy: 0.724 eV per atom
* calculated volume: 148 Å³ per cell
* final energy: -3.8953 eV per atom
* DOS at the Fermi energy: 4.543 states/eV/cell

Record 17
## NbTePdI (PBE)

Data for a relaxed NbTePdI crystal.

Cell: 16.481 4.209 3.407 Å, 90.00 100.70 90.00°
Space group Cm (No. 8)
Inequivalent atoms, fractional coordinates:
Nb  0.000  0.000  0.000
Te  0.148  0.000  0.725
Pd  0.053  0.500  0.457
I  0.362  0.500  0.389

Values from the calculation:
* raw formation energy: -0.175 eV per atom
* calculated volume: 232 Å³ per cell
* final energy: -5.1635 eV per atom
* DOS at the Fermi energy: 4.128 states/eV/cell

Record 18
## NbTePdI2 (PBE)

Data for a relaxed NbTePdI2 crystal.

Cell: 5.341 5.341 5.413 Å, 90.00 90.00 90.00°
Space group P4/mmm (No. 123)
Inequivalent atoms, fractional coordinates:
Nb  0.000  0.000  0.000
Te  0.500  0.500  0.000
Pd  0.500  0.500  0.500
I  0.000  0.500  0.500

Values from the calculation:
* raw formation energy: 0.730 eV per atom
* calculated volume: 154 Å³ per cell
* final energy: -3.5705 eV per atom
* DOS at the Fermi energy: 5.023 states/eV/cell

Record 19
## NbTePdI (PBE)

Data for a relaxed NbTePdI crystal.

Cell: 9.157 3.661 6.817 Å, 90.00 96.09 90.00°
Space group Cm (No. 8)
Inequivalent atoms, fractional coordinates:
Nb  0.000  0.000  0.000
Te  0.280  0.000  0.866
Pd  0.052  0.500  0.711
I  0.098  0.500  0.309

Values from the calculation:
* raw formation energy: -0.100 eV per atom
* calculated volume: 227 Å³ per cell
* final energy: -5.0882 eV per atom
* DOS at the Fermi energy: 5.826 states/eV/cell

Record 20
## NbTePdI (PBE)

Data for a relaxed NbTePdI crystal.

Cell: 4.191 4.191 8.185 Å, 90.41 104.21 119.98°
Space group P1 (No. 1)
Inequivalent atoms, fractional coordinates:
Nb  0.000  0.000  0.000
Te  0.495  0.244  0.735
Pd  0.261  0.629  0.888
I  0.821  0.414  0.238

Values from the calculation:
* raw formation energy: -0.335 eV per atom
* calculated volume: 119 Å³ per cell
* final energy: -5.3240 eV per atom

Record 21
## NbTePdI2 (PBE)

Data for a relaxed NbTePdI2 crystal.

Cell: 5.585 5.585 5.369 Å, 90.00 90.00 90.00°
Space group P4/mmm (No. 123)
Inequivalent atoms, fractional coordinates:
Nb  0.000  0.000  0.000
Te  0.000  0.000  0.500
Pd  0.500  0.500  0.500
I  0.000  0.500  0.000

Values from the calculation:
* raw formation energy: 0.475 eV per atom
* calculated volume: 167 Å³ per cell
* final energy: -3.8262 eV per atom
* DOS at the Fermi energy: 5.296 states/eV/cell

Record 22
## PmNbI2 (PBE)

Data for a relaxed PmNbI2 crystal.

Cell: 3.6092 3.6092 30.9565 Å, 90.00 90.00 120.00°
Space group R-3m (No. 166, hexagonal axes)
Inequivalent atoms, fractional coordinates:
Pm  0.0000  0.0000  0.0000
Nb  0.0000  0.0000  0.5000
I  0.0000  0.0000  0.1027

Values from the calculation:
* raw formation energy: 0.005 eV per atom
* calculated volume: 349 Å³ per cell
* final energy: -4.4753 eV per atom
* DOS at the Fermi energy: 7.511 states/eV/cell

Record 23
## PmNb2Se4I2 (PBE)

Data for a relaxed PmNb2Se4I2 crystal.

Cell: 3.6804 3.6804 22.1805 Å, 90.00 90.00 120.00°
Space group P3m1 (No. 156)
Inequivalent atoms, fractional coordinates:
Pm  0.0000  0.0000  0.0000
Nb  0.0000  0.0000  0.6397
Nb  0.6667  0.3333  0.3367
Se  0.0000  0.0000  0.2632
Se  0.0000  0.0000  0.4095
Se  0.6667  0.3333  0.5668
Se  0.6667  0.3333  0.7132
I  0.6667  0.3333  0.1015
I  0.6667  0.3333  0.8983

Values from the calculation:
* raw formation energy: -0.875 eV per atom
* calculated volume: 260 Å³ per cell
* final energy: -5.5340 eV per atom
* DOS at the Fermi energy: 4.664 states/eV/cell

Record 24
## Nb2PtI (PBE)

Data for a relaxed Nb2PtI crystal.

Cell: 6.021 6.021 12.298 Å, 90.00 90.00 90.00°
Space group I-42d (No. 122)
Inequivalent atoms, fractional coordinates:
Nb  0.208  0.250  0.125
Pt  0.000  0.000  0.000
I  0.000  0.000  0.500

Values from the calculation:
* raw formation energy: 0.671 eV per atom
* calculated volume: 446 Å³ per cell
* final energy: -6.2617 eV per atom
* DOS at the Fermi energy: 9.311 states/eV/cell

Record 25
## NbPtI (PBE)

Data for a relaxed NbPtI crystal.

Cell: 12.377 3.613 6.256 Å, 90.00 90.00 90.00°
Space group Amm2 (No. 38)
Inequivalent atoms, fractional coordinates:
Nb  0.135  0.000  0.000
Pt  0.000  0.000  0.667
Pt  0.500  0.000  0.670
I  0.293  0.000  0.667

Values from the calculation:
* raw formation energy: 0.212 eV per atom
* calculated volume: 280 Å³ per cell
* final energy: -5.6747 eV per atom
* DOS at the Fermi energy: 11.347 states/eV/cell

Record 26
## Nb2PtI (PBE)

Data for a relaxed Nb2PtI crystal.

Cell: 6.673 6.673 6.673 Å, 90.00 90.00 90.00°
Space group Fm-3m (No. 225)
Inequivalent atoms, fractional coordinates:
Nb  0.250  0.250  0.250
Pt  0.000  0.000  0.000
I  0.000  0.000  0.500

Values from the calculation:
* raw formation energy: 0.195 eV per atom
* calculated volume: 297 Å³ per cell
* final energy: -6.7376 eV per atom
* DOS at the Fermi energy: 16.982 states/eV/cell

Record 27
## NbSb2PtI (PBE)

Data for a relaxed NbSb2PtI crystal.

Cell: 5.386 5.386 5.212 Å, 90.00 90.00 90.00°
Space group P4/mmm (No. 123)
Inequivalent atoms, fractional coordinates:
Nb  0.000  0.000  0.000
Sb  0.000  0.500  0.000
Pt  0.500  0.500  0.500
I  0.000  0.000  0.500

Values from the calculation:
* raw formation energy: 0.858 eV per atom
* calculated volume: 151 Å³ per cell
* final energy: -4.3234 eV per atom
* DOS at the Fermi energy: 4.180 states/eV/cell